The following is a PBE calculation of LiVZn after structural relaxation, from Alexandria.

SG: P1
Calculated total energy, Ha/atom: -0.1466

```
LiVZn
1.0
2.622 0.000 0.000
-0.555 5.164 0.000
-0.978 -1.373 6.377
Li V Zn
2 2 2
Direct
0.000 0.000 0.000
0.418 0.142 0.663
0.352 0.746 0.319
0.484 0.528 0.042
0.843 0.256 0.332
0.942 0.633 0.678
```

The following is a PBE calculation of Rb2NaHI after structural relaxation, from Alexandria.

SG: P4/mmm
Calculated total energy, Ha/atom: -0.0778

```
Rb2NaHI
1.0
6.112 0.000 0.000
0.000 6.112 0.000
0.000 0.000 4.969
Rb Na H I
2 1 1 1
Direct
0.000 0.500 0.000
0.500 0.000 0.000
0.000 0.000 0.500
0.000 0.000 0.000
0.500 0.500 0.500
```

The following is a PBE calculation of YTaTlNi2 after structural relaxation, from Alexandria.

SG: P4/mmm
Calculated total energy, Ha/atom: -0.2140

```
YTaTlNi2
1.0
4.638 0.000 0.000
0.000 4.638 0.000
0.000 0.000 5.320
Y Ta Tl Ni
1 1 1 2
Direct
0.000 0.000 0.000
0.500 0.500 0.500
0.500 0.500 0.000
0.000 0.500 0.500
0.500 0.000 0.500
```